# CaPt3 GGA-PBE relaxed
data_CaPt3
_chemical_formula_sum 'Ca1 Pt3'
_symmetry_space_group_name_H-M 'P 1'
_symmetry_Int_Tables_number 1
_cell_length_a 2.863
_cell_length_b 4.182
_cell_length_c 5.887
_cell_angle_alpha 90.00
_cell_angle_beta 90.00
_cell_angle_gamma 90.00
loop_
_symmetry_equiv_pos_as_xyz
'x,y,z'
loop_
_atom_site_label
_atom_site_type_symbol
_atom_site_fract_x
_atom_site_fract_y
_atom_site_fract_z
_atom_site_occupancy
Ca1 Ca 0.000 0.000 0.000 1
Pt1 Pt 0.000 0.000 0.500 1
Pt2 Pt 0.500 0.500 0.272 1
Pt3 Pt 0.500 0.500 0.728 1
# * total energy: -5.44 eV per atom
# * symmetry: Pmmm, No. 47
# * energy relative to the elements: -0.41 eV/atom


# LaSb2Os GGA-PBE relaxed
data_LaSb2Os
_chemical_formula_sum 'La1 Sb2 Os1'
_symmetry_space_group_name_H-M 'P 1'
_symmetry_Int_Tables_number 1
_cell_length_a 3.306
_cell_length_b 3.306
_cell_length_c 9.392
_cell_angle_alpha 90.00
_cell_angle_beta 90.00
_cell_angle_gamma 90.00
loop_
_symmetry_equiv_pos_as_xyz
'x,y,z'
loop_
_atom_site_label
_atom_site_type_symbol
_atom_site_fract_x
_atom_site_fract_y
_atom_site_fract_z
_atom_site_occupancy
La1 La 0.000 0.000 0.000 1
Sb1 Sb 0.000 0.000 0.377 1
Sb2 Sb 0.500 0.500 0.722 1
Os1 Os 0.500 0.500 0.223 1
# * total energy: -6.20 eV per atom
# * symmetry: P4mm, No. 99
# * uncorrected formation energy: -0.101 eV/atom


# RbCa2TlBr GGA-PBE relaxed
data_RbCa2TlBr
_chemical_formula_sum 'Rb1 Ca2 Tl1 Br1'
_symmetry_space_group_name_H-M 'P 1'
_symmetry_Int_Tables_number 1
_cell_length_a 6.088
_cell_length_b 6.088
_cell_length_c 6.780
_cell_angle_alpha 90.00
_cell_angle_beta 90.00
_cell_angle_gamma 90.00
loop_
_symmetry_equiv_pos_as_xyz
'x,y,z'
loop_
_atom_site_label
_atom_site_type_symbol
_atom_site_fract_x
_atom_site_fract_y
_atom_site_fract_z
_atom_site_occupancy
Rb1 Rb 0.000 0.000 0.000 1
Ca1 Ca 0.000 0.500 0.500 1
Ca2 Ca 0.500 0.000 0.500 1
Tl1 Tl 0.500 0.500 0.500 1
Br1 Br 0.500 0.500 0.000 1
# * total energy: -2.03 eV per atom
# * symmetry: P4/mmm, No. 123
# * uncorrected formation energy: -0.227 eV/atom